[1]
Computed, not measured: a relaxed SrCF3 crystal at the PBE-GGA level of DFT.

Unit cell a=4.093 b=4.093 c=4.093 alpha=90.00 beta=90.00 gamma=90.00
Fractional coordinates of all 5 atoms:
1 F 0.500 0.000 0.000
2 F 0.000 0.000 0.500
3 F 0.000 0.500 0.000
4 Sr 0.500 0.500 0.500
5 C 0.000 0.000 0.000

Output
Its density of states at the Fermi level is 0.84 states/eV/f.u. The size of the total moment is 1.0 Bohr magnetons per cell. As for the space group: Pm-3m (221). The energy above the most stable polymorph in this dataset is 0 meV per atom.

---

[2]
Computed, not measured: a relaxed SrCF crystal at the PBE-GGA level of DFT.

Unit cell a=4.134 b=4.172 c=7.301 alpha=85.31 beta=90.00 gamma=119.69
Fractional coordinates of all 6 atoms:
1 C 0.454 0.907 0.931
2 C 0.546 0.093 0.069
3 F 0.822 0.645 0.614
4 F 0.178 0.355 0.386
5 Sr 0.852 0.704 0.266
6 Sr 0.148 0.296 0.734

Output
Its density of states at the Fermi level is 0.00 states/eV/f.u. The size of the total moment is 0.0 Bohr magnetons per cell. For the total energy, the calculation gives -6.22 eV/atom. As for the space group: C2/m (12).